# Ac5Np2Te12

An optimized crystal structure of Ac5Np2Te12 (PBE, Alexandria via LeMat-Bulk).

Cell: 18.273 8.574 10.487 Å, 90.00 107.45 90.00°
Space group C2/m (No. 12)
Unique sites:
Ac 0.000 0.000 0.000
Ac 0.185 0.500 0.328
Ac 0.204 0.500 0.859
Np 0.000 0.257 0.500
Te 0.001 0.000 0.311
Te 0.006 0.500 0.716
Te 0.148 0.252 0.067
Te 0.170 0.259 0.586

Crystal system ... monoclinic
E ... -213.22 eV for the cell shown
Energy relative to the elements, uncorrected ... -1.18 eV/atom
Fermi-level density of states ... 0.90 states/eV per atom